(1)
{"formula": "Er3Ni5S12", "functional": "PBE", "state": "relaxed", "cell": [[12.450, 0.000, 0.000], [-4.150, 11.738, 0.000], [-4.150, -5.869, 10.165]], "species": ["Ni", "Ni", "Ni", "Ni", "Ni", "Ni", "Ni", "Ni", "Ni", "Ni", "Ni", "Ni", "Ni", "Ni", "Ni", "Ni", "Ni", "Ni", "Ni", "Ni", "S", "S", "S", "S", "S", "S", "S", "S", "S", "S", "S", "S", "S", "S", "S", "S", "S", "S", "S", "S", "S", "S", "S", "S", "S", "S", "S", "S", "S", "S", "S", "S", "S", "S", "S", "S", "S", "S", "S", "S", "S", "S", "S", "S", "S", "S", "S", "S", "Er", "Er", "Er", "Er", "Er", "Er", "Er", "Er", "Er", "Er", "Er", "Er"], "frac_coords": [[0.125, 0.375, 0.250], [0.000, 0.500, 0.000], [0.000, 0.000, 0.000], [0.375, 0.250, 0.125], [0.500, 0.000, 0.500], [0.500, 0.500, 0.000], [0.125, 0.750, 0.375], [0.750, 0.125, 0.875], [0.750, 0.625, 0.375], [0.375, 0.125, 0.750], [0.625, 0.875, 0.250], [0.500, 0.500, 0.500], [0.500, 0.000, 0.000], [0.000, 0.000, 0.500], [0.250, 0.375, 0.625], [0.250, 0.875, 0.125], [0.000, 0.500, 0.500], [0.875, 0.250, 0.625], [0.625, 0.750, 0.875], [0.875, 0.625, 0.750], [0.702, 0.118, 0.026], [0.324, 0.526, 0.408], [0.974, 0.382, 0.298], [0.526, 0.202, 0.118], [0.584, 0.702, 0.676], [0.974, 0.592, 0.176], [0.324, 0.798, 0.416], [0.092, 0.916, 0.118], [0.592, 0.974, 0.676], [0.702, 0.584, 0.176], [0.798, 0.474, 0.382], [0.824, 0.908, 0.026], [0.118, 0.702, 0.526], [0.382, 0.408, 0.084], [0.084, 0.908, 0.382], [0.416, 0.118, 0.592], [0.084, 0.176, 0.202], [0.474, 0.676, 0.092], [0.824, 0.916, 0.298], [0.118, 0.416, 0.092], [0.382, 0.974, 0.798], [0.592, 0.618, 0.416], [0.908, 0.824, 0.526], [0.798, 0.324, 0.916], [0.408, 0.382, 0.584], [0.092, 0.176, 0.474], [0.202, 0.676, 0.084], [0.176, 0.084, 0.702], [0.618, 0.026, 0.202], [0.882, 0.584, 0.908], [0.526, 0.324, 0.908], [0.584, 0.882, 0.408], [0.916, 0.824, 0.798], [0.916, 0.092, 0.618], [0.882, 0.298, 0.474], [0.176, 0.092, 0.974], [0.618, 0.592, 0.916], [0.408, 0.026, 0.324], [0.298, 0.416, 0.824], [0.202, 0.526, 0.618], [0.908, 0.084, 0.882], [0.676, 0.202, 0.584], [0.474, 0.798, 0.882], [0.026, 0.408, 0.824], [0.416, 0.298, 0.324], [0.026, 0.618, 0.702], [0.676, 0.474, 0.592], [0.298, 0.882, 0.974], [0.750, 0.375, 0.125], [0.875, 0.750, 0.125], [0.375, 0.750, 0.625], [0.250, 0.125, 0.375], [0.875, 0.125, 0.250], [0.375, 0.625, 0.250], [0.625, 0.375, 0.750], [0.125, 0.875, 0.750], [0.750, 0.875, 0.625], [0.625, 0.250, 0.375], [0.125, 0.250, 0.875], [0.250, 0.625, 0.875]], "spacegroup": "No. 230"}

***

(2)
{"formula": "ErNiS", "functional": "PBE", "state": "relaxed", "cell": [[-3.544, 0.168, -0.680], [1.167, -0.591, 3.367], [0.141, 9.623, 1.640]], "species": ["S", "S", "Ni", "Ni", "Er", "Er"], "frac_coords": [[0.611, 0.222, 0.000], [0.278, 0.556, 0.500], [0.611, 0.222, 0.620], [0.611, 0.222, 0.380], [0.278, 0.555, 0.804], [0.278, 0.555, 0.196]], "spacegroup": "No. 187"}

***

(3)
{"formula": "Er4Ni2S", "functional": "PBE", "state": "relaxed", "cell": [[3.493, 0.000, 1.057], [1.419, 6.496, 1.612], [-0.192, 0.473, 6.932]], "species": ["Er", "Er", "Er", "Er", "Ni", "Ni", "S"], "frac_coords": [[0.084, 0.233, 0.600], [0.916, 0.767, 0.400], [0.323, 0.275, 0.079], [0.677, 0.725, 0.921], [0.386, 0.545, 0.683], [0.614, 0.455, 0.317], [0.000, 0.000, 0.000]], "spacegroup": "No. 12"}

***

(4)
{"formula": "Er2NiS", "functional": "PBE", "state": "relaxed", "cell": [[-1.398, -1.321, 3.422], [-3.346, -0.669, -1.625], [4.936, -9.754, -1.750]], "species": ["Er", "Er", "Er", "Er", "Ni", "Ni", "S", "S"], "frac_coords": [[0.750, 0.683, 0.366], [0.250, 0.317, 0.634], [0.750, 0.934, 0.867], [0.250, 0.066, 0.133], [0.250, 0.464, 0.929], [0.750, 0.536, 0.071], [0.250, 0.193, 0.385], [0.750, 0.807, 0.615]], "spacegroup": "No. 63"}

***

(5)
{"formula": "Er6NiS5", "functional": "PBE", "state": "relaxed", "cell": [[6.620, -0.103, -1.253], [-3.577, 5.572, -1.253], [0.120, 0.216, 6.715]], "species": ["Ni", "S", "S", "S", "S", "S", "Er", "Er", "Er", "Er", "Er", "Er"], "frac_coords": [[0.000, 0.000, 0.000], [0.826, 0.174, 0.500], [0.665, 0.335, 0.000], [0.500, 0.500, 0.500], [0.335, 0.665, 0.000], [0.174, 0.826, 0.500], [0.403, 0.079, 0.241], [0.921, 0.597, 0.759], [0.242, 0.242, 0.755], [0.758, 0.758, 0.245], [0.079, 0.403, 0.241], [0.597, 0.921, 0.759]], "spacegroup": "No. 12"}

***

(6)
{"formula": "Er2NiS", "functional": "PBE", "state": "relaxed", "cell": [[3.803, 0.000, 0.000], [1.902, 3.294, 0.000], [1.902, 1.098, 6.841]], "species": ["Er", "Er", "Ni", "S"], "frac_coords": [[0.076, 0.076, 0.772], [0.258, 0.258, 0.227], [0.667, 0.667, 0.000], [0.499, 0.499, 0.502]], "spacegroup": "No. 160"}

***

(7)
{"formula": "Er4NiS3", "functional": "PBE", "state": "relaxed", "cell": [[-1.530, -3.262, -1.225], [5.822, -3.239, 1.353], [-3.966, -0.212, 5.518]], "species": ["Ni", "S", "S", "S", "Er", "Er", "Er", "Er"], "frac_coords": [[0.500, 0.000, 0.000], [0.000, 0.000, 0.500], [0.500, 0.500, 0.500], [0.000, 0.500, 0.000], [0.000, 0.238, 0.238], [0.500, 0.754, 0.246], [0.000, 0.762, 0.762], [0.500, 0.246, 0.754]], "spacegroup": "No. 65"}

***

(8)
{"formula": "Er6Ni2Se3S", "functional": "PBE", "state": "relaxed", "cell": [[6.789, -0.011, 0.000], [-3.402, 5.875, 0.000], [-1.130, -1.957, 6.791]], "species": ["Er", "Er", "Er", "Er", "Er", "Er", "Ni", "Ni", "Se", "Se", "Se", "S"], "frac_coords": [[0.924, 0.580, 0.774], [0.732, 0.732, 0.227], [0.076, 0.420, 0.226], [0.580, 0.924, 0.774], [0.268, 0.268, 0.773], [0.420, 0.076, 0.226], [0.332, 0.668, 0.000], [0.668, 0.332, 0.000], [0.162, 0.838, 0.500], [0.838, 0.162, 0.500], [0.500, 0.500, 0.500], [0.000, 0.000, 0.000]], "spacegroup": "No. 12"}

***

(9)
{"formula": "Er4NiSeS2", "functional": "PBE", "state": "relaxed", "cell": [[3.844, 0.000, 0.000], [0.000, 6.893, 0.173], [0.000, -2.360, 6.456]], "species": ["Er", "Er", "Er", "Er", "Ni", "Se", "S", "S"], "frac_coords": [[0.500, 0.264, 0.255], [0.500, 0.736, 0.745], [0.000, 0.268, 0.760], [0.000, 0.732, 0.240], [0.500, 0.500, 0.000], [0.000, 0.000, 0.000], [0.500, 0.000, 0.500], [0.000, 0.500, 0.500]], "spacegroup": "No. 10"}

***

(10)
{"formula": "Er4NiTe2S", "functional": "PBE", "state": "relaxed", "cell": [[-1.417, 3.174, 1.947], [-5.209, -4.070, 2.843], [5.797, -0.184, 4.519]], "species": ["Er", "Er", "Er", "Er", "Ni", "Te", "Te", "S"], "frac_coords": [[0.500, 0.243, 0.211], [0.500, 0.757, 0.789], [0.000, 0.281, 0.799], [0.000, 0.719, 0.201], [0.500, 0.500, 0.000], [0.500, 0.000, 0.500], [0.000, 0.500, 0.500], [0.000, 0.000, 0.000]], "spacegroup": "No. 10"}

***

(11)
{"formula": "Er12Ni6Sb", "functional": "PBE", "state": "relaxed", "cell": [[7.856, 0.000, -2.777], [-3.928, 6.803, -2.777], [0.000, 0.000, 8.332]], "species": ["Er", "Er", "Er", "Er", "Er", "Er", "Er", "Er", "Er", "Er", "Er", "Er", "Ni", "Ni", "Ni", "Ni", "Ni", "Ni", "Sb"], "frac_coords": [[0.305, 0.117, 0.812], [0.305, 0.493, 0.188], [0.695, 0.507, 0.812], [0.695, 0.883, 0.188], [0.117, 0.812, 0.305], [0.493, 0.188, 0.305], [0.507, 0.812, 0.695], [0.883, 0.188, 0.695], [0.812, 0.305, 0.117], [0.188, 0.305, 0.493], [0.812, 0.695, 0.507], [0.188, 0.695, 0.883], [0.376, 0.500, 0.876], [0.624, 0.500, 0.124], [0.500, 0.876, 0.376], [0.500, 0.124, 0.624], [0.876, 0.376, 0.500], [0.124, 0.624, 0.500], [0.000, 0.000, 0.000]], "spacegroup": "No. 204"}

***

(12)
{"formula": "Er7Ni2Sb2", "functional": "PBE", "state": "relaxed", "cell": [[6.742, -0.003, -0.662], [0.003, 6.747, 0.003], [-1.080, -0.002, 6.687]], "species": ["Er", "Er", "Er", "Er", "Er", "Er", "Er", "Ni", "Ni", "Sb", "Sb"], "frac_coords": [[0.000, 0.246, 0.500], [0.500, 0.754, 0.000], [0.000, 0.754, 0.500], [0.500, 0.246, 0.000], [0.000, 0.000, 0.000], [0.500, 0.768, 0.500], [0.500, 0.232, 0.500], [0.717, 0.000, 0.283], [0.283, 0.000, 0.717], [0.805, 0.500, 0.805], [0.195, 0.500, 0.195]], "spacegroup": "No. 65"}

***

(13)
{"formula": "ErNi4Sb", "functional": "PBE", "state": "relaxed", "cell": [[3.925, 0.000, 0.000], [0.000, 5.497, 0.000], [-1.962, 0.000, 8.457]], "species": ["Er", "Er", "Ni", "Ni", "Ni", "Ni", "Ni", "Ni", "Ni", "Ni", "Sb", "Sb"], "frac_coords": [[0.084, 0.250, 0.169], [0.916, 0.750, 0.831], [0.500, 0.500, 0.000], [0.500, 0.000, 0.000], [0.652, 0.966, 0.303], [0.348, 0.034, 0.697], [0.348, 0.466, 0.697], [0.652, 0.534, 0.303], [0.075, 0.750, 0.149], [0.925, 0.250, 0.851], [0.229, 0.750, 0.458], [0.771, 0.250, 0.542]], "spacegroup": "No. 63"}

***

(14)
{"formula": "Er12NiSb6", "functional": "PBE", "state": "relaxed", "cell": [[-5.515, 3.945, -5.044], [3.468, -5.356, -5.541], [-5.231, -5.268, 4.038]], "species": ["Er", "Er", "Er", "Er", "Er", "Er", "Er", "Er", "Er", "Er", "Er", "Er", "Ni", "Sb", "Sb", "Sb", "Sb", "Sb", "Sb"], "frac_coords": [[0.803, 0.587, 0.455], [0.455, 0.803, 0.587], [0.587, 0.455, 0.803], [0.197, 0.413, 0.545], [0.545, 0.197, 0.413], [0.413, 0.545, 0.197], [0.058, 0.988, 0.308], [0.012, 0.692, 0.942], [0.692, 0.942, 0.012], [0.942, 0.012, 0.692], [0.988, 0.308, 0.058], [0.308, 0.058, 0.988], [0.000, 0.000, 0.000], [0.685, 0.881, 0.357], [0.643, 0.315, 0.119], [0.119, 0.643, 0.315], [0.315, 0.119, 0.643], [0.357, 0.685, 0.881], [0.881, 0.357, 0.685]], "spacegroup": "No. 148"}

***

(15)
{"formula": "Er8NiSb2", "functional": "PBE", "state": "relaxed", "cell": [[-1.947, -0.298, -4.071], [-6.300, -1.985, 3.159], [-0.625, 9.207, 2.138]], "species": ["Er", "Er", "Er", "Er", "Er", "Er", "Er", "Er", "Ni", "Sb", "Sb"], "frac_coords": [[0.405, 0.480, 0.810], [0.641, 0.039, 0.282], [0.787, 0.649, 0.573], [0.001, 0.221, 0.001], [0.213, 0.351, 0.427], [0.359, 0.961, 0.718], [0.595, 0.520, 0.190], [0.999, 0.779, 0.999], [0.500, 0.000, 0.000], [0.818, 0.225, 0.636], [0.182, 0.775, 0.364]], "spacegroup": "No. 12"}

***

(16)
{"formula": "ErNi3Sb", "functional": "PBE", "state": "relaxed", "cell": [[-3.181, -3.950, -0.494], [5.838, -4.035, -5.322], [0.197, 2.405, 5.785]], "species": ["Er", "Er", "Ni", "Ni", "Ni", "Ni", "Ni", "Ni", "Sb", "Sb"], "frac_coords": [[0.250, 0.249, 0.500], [0.750, 0.751, 0.500], [0.804, 0.304, 0.108], [0.304, 0.304, 0.108], [0.696, 0.696, 0.892], [0.196, 0.696, 0.892], [0.250, 0.946, 0.500], [0.750, 0.054, 0.500], [0.000, 0.500, 0.000], [0.500, 0.000, 0.000]], "spacegroup": "No. 74"}

***

(17)
{"formula": "ErNi9Sb2", "functional": "PBE", "state": "relaxed", "cell": [[4.878, 0.000, 0.000], [2.439, 4.224, 0.000], [2.439, 1.408, 8.113]], "species": ["Er", "Ni", "Ni", "Ni", "Ni", "Ni", "Ni", "Ni", "Ni", "Ni", "Sb", "Sb"], "frac_coords": [[0.000, 0.000, 0.000], [0.667, 0.667, 0.000], [0.333, 0.333, 0.000], [0.500, 0.500, 0.500], [0.417, 0.417, 0.248], [0.919, 0.417, 0.248], [0.417, 0.919, 0.248], [0.583, 0.583, 0.752], [0.583, 0.081, 0.752], [0.081, 0.583, 0.752], [0.869, 0.869, 0.394], [0.131, 0.131, 0.606]], "spacegroup": "No. 166"}

***

(18)
{"formula": "ErNiSb", "functional": "PBE", "state": "relaxed", "cell": [[-4.256, -1.221, -0.593], [-2.234, -1.995, 3.314], [-3.267, 2.185, 2.123]], "species": ["Sb", "Ni", "Er"], "frac_coords": [[0.000, 0.000, 0.000], [0.750, 0.750, 0.750], [0.500, 0.500, 0.500]], "spacegroup": "No. 216"}

***

(19)
{"formula": "Er6Ni2Sb", "functional": "PBE", "state": "relaxed", "cell": [[-0.768, -2.368, 7.981], [4.356, -5.384, -4.684], [4.220, 7.208, -0.360]], "species": ["Er", "Er", "Er", "Er", "Er", "Er", "Er", "Er", "Er", "Er", "Er", "Er", "Ni", "Ni", "Ni", "Ni", "Sb", "Sb"], "frac_coords": [[0.526, 0.707, 0.819], [0.474, 0.293, 0.181], [0.112, 0.293, 0.819], [0.888, 0.707, 0.181], [0.795, 0.769, 0.564], [0.205, 0.231, 0.436], [0.205, 0.769, 0.974], [0.795, 0.231, 0.026], [0.688, 0.361, 0.673], [0.312, 0.639, 0.327], [0.312, 0.985, 0.673], [0.688, 0.015, 0.327], [0.500, 0.376, 0.876], [0.500, 0.624, 0.124], [0.652, 0.000, 0.652], [0.348, 0.000, 0.348], [0.000, 0.500, 0.500], [0.000, 0.000, 0.000]], "spacegroup": "No. 71"}

***

Record order is preserved below.
E_form (uncorrected): -16.60 -2.41 -5.59 -4.88 -20.59 -4.25 -12.41 -15.76 -11.86 -9.76 -8.42 -4.26 -1.88 -11.74 -4.69 -1.67 -2.10 -2.72 -4.11 eV/f.u.